(1)
VASP calculation (PBE) on a relaxed structure of TbThCuIr.

Output
- total magnetization (μB per formula unit) = 0.00
- space-group type = F-43m, No. 216
- E above lowest polymorph (eV/atom) = 0.1196
- energy of formation from the pure elements (meV per atom) = -514
- Fermi-level density of states (states/eV/atom) = 0.5683

Unit cell a=4.9938 b=4.9938 c=4.9938 alpha=60.00 beta=60.00 gamma=60.00
Last column: nearest neighbours and their distance in Å.
Element x y z (fractional)
1 Ir 0.7500 0.7500 0.7500  4 Th 3.06, 4 Tb 3.06
2 Cu 0.2500 0.2500 0.2500  4 Th 3.06, 4 Tb 3.06
3 Tb 0.0000 0.0000 0.0000  4 Cu 3.06, 4 Ir 3.06
4 Th 0.5000 0.5000 0.5000  4 Cu 3.06, 4 Ir 3.06

---

(2)
VASP calculation (PBE) on a relaxed structure of TbYCuIr.

Output
- total magnetization (μB per formula unit) = 0.00
- space-group type = F-43m, No. 216
- energy of formation from the pure elements (meV per atom) = -571
- Fermi-level density of states (states/eV/atom) = 0.6782

Unit cell a=4.8912 b=4.8912 c=4.8912 alpha=60.00 beta=60.00 gamma=60.00
Last column: nearest neighbours and their distance in Å.
Element x y z (fractional)
1 Cu 0.0000 0.0000 0.0000  4 Tb 3.00, 4 Y 3.00
2 Ir 0.5000 0.5000 0.5000  4 Tb 3.00, 4 Y 3.00
3 Tb 0.2500 0.2500 0.2500  4 Cu 3.00, 4 Ir 3.00
4 Y 0.7500 0.7500 0.7500  4 Ir 3.00, 4 Cu 3.00

---

(3)
VASP calculation (PBE) on a relaxed structure of TbZrCuIr.

Output
- total magnetization (μB per formula unit) = 0.00
- space-group type = F-43m, No. 216
- energy of formation from the pure elements (meV per atom) = -484
- Fermi-level density of states (states/eV/atom) = 0.8863

Unit cell a=4.7787 b=4.7787 c=4.7787 alpha=60.00 beta=60.00 gamma=60.00
Last column: nearest neighbours and their distance in Å.
Element x y z (fractional)
1 Cu 0.7500 0.7500 0.7500  4 Zr 2.93, 4 Tb 2.93
2 Zr 0.5000 0.5000 0.5000  4 Ir 2.93, 4 Cu 2.93
3 Ir 0.2500 0.2500 0.2500  4 Zr 2.93, 4 Tb 2.93
4 Tb 0.0000 0.0000 0.0000  4 Ir 2.93, 4 Cu 2.93

---

(4)
VASP calculation (PBE) on a relaxed structure of CuTcIr2.

Output
- total magnetization (μB per formula unit) = 0.00
- space-group type = C2/m, No. 12
- E above lowest polymorph (eV/atom) = 0.0995
- energy of formation from the pure elements (meV per atom) = 23
- Fermi-level density of states (states/eV/atom) = 1.0665

Unit cell a=4.6913 b=4.6913 c=4.6819 alpha=80.87 beta=80.87 gamma=33.47
Last column: nearest neighbours and their distance in Å.
Element x y z (fractional)
1 Ir 0.5016 0.5016 0.5007  3 Cu 2.68-2.72, 6 Ir 2.69-2.71, 3 Tc 2.70-2.71
2 Ir 0.9984 0.9984 0.9993  3 Cu 2.68-2.72, 6 Ir 2.69-2.71, 3 Tc 2.70-2.71
3 Cu 0.7500 0.7500 0.7500  6 Ir 2.68-2.72, 2 Cu 2.70, 4 Tc 2.70
4 Tc 0.2500 0.2500 0.2500  2 Tc 2.70, 4 Cu 2.70, 6 Ir 2.70-2.71

---

(5)
VASP calculation (PBE) on a relaxed structure of Cu4TcIr.

Output
- total magnetization (μB per formula unit) = 1.82
- space-group type = F-43m, No. 216
- energy of formation from the pure elements (meV per atom) = 230
- Fermi-level density of states (states/eV/atom) = 1.0639

Unit cell a=4.7562 b=4.7562 c=4.7562 alpha=60.00 beta=60.00 gamma=60.00
Last column: nearest neighbours and their distance in Å.
Element x y z (fractional)
1 Cu 0.1253 0.6249 0.6249  6 Cu 2.38
2 Tc 0.0000 0.0000 0.0000  12 Cu 2.79, 4 Ir 2.91
3 Cu 0.6249 0.1253 0.6249  6 Cu 2.38
4 Ir 0.2500 0.2500 0.2500  12 Cu 2.79, 4 Tc 2.91
5 Cu 0.6249 0.6249 0.6249  6 Cu 2.38
6 Cu 0.6249 0.6249 0.1253  6 Cu 2.38

---

(6)
VASP calculation (PBE) on a relaxed structure of CuTcIr2.

Output
- total magnetization (μB per formula unit) = 0.00
- space-group type = Pmmm, No. 47
- E above lowest polymorph (eV/atom) = 0.3827
- energy of formation from the pure elements (meV per atom) = 306
- Fermi-level density of states (states/eV/atom) = 1.2741

Unit cell a=2.7389 b=4.6319 c=4.5068 alpha=90.00 beta=90.00 gamma=90.00
Last column: nearest neighbours and their distance in Å.
Element x y z (fractional)
1 Ir 0.5000 0.5000 0.0000  4 Cu 2.64, 6 Ir 2.69-2.74
2 Ir 0.0000 0.0000 0.0000  4 Tc 2.64, 6 Ir 2.69-2.74
3 Cu 0.0000 0.5000 0.5000  4 Ir 2.64, 4 Tc 2.69, 2 Cu 2.74
4 Tc 0.5000 0.0000 0.5000  4 Ir 2.64, 4 Cu 2.69, 2 Tc 2.74

---

(7)
VASP calculation (PBE) on a relaxed structure of CuTcIr.

Output
- total magnetization (μB per formula unit) = 0.00
- space-group type = P-6m2, No. 187
- E above lowest polymorph (eV/atom) = 0.0875
- energy of formation from the pure elements (meV per atom) = 83
- Fermi-level density of states (states/eV/atom) = 0.2767

Unit cell a=4.2388 b=4.2388 c=2.6621 alpha=90.00 beta=90.00 gamma=120.00
Last column: nearest neighbours and their distance in Å.
Element x y z (fractional)
1 Cu 0.0000 0.0000 0.1672  3 Ir 2.45, 2 Cu 2.66
2 Ir 0.6667 0.3333 0.1664  3 Cu 2.45, 2 Ir 2.66
3 Tc 0.3333 0.6667 0.6664  2 Tc 2.66, 6 Cu 2.78-2.79, 6 Ir 2.79

---

(8)
VASP calculation (PBE) on a relaxed structure of CuTcIr.

Output
- total magnetization (μB per formula unit) = 0.00
- space-group type = I4mm, No. 107
- E above lowest polymorph (eV/atom) = 0.0328
- energy of formation from the pure elements (meV per atom) = 28
- Fermi-level density of states (states/eV/atom) = 0.7615

Unit cell a=5.8041 b=5.8041 c=5.8041 alpha=152.56 beta=152.56 gamma=39.20
Last column: nearest neighbours and their distance in Å.
Element x y z (fractional)
1 Ir 0.3315 0.3315 0.0000  4 Tc 2.64, 4 Cu 2.68, 4 Ir 2.75
2 Tc 0.6686 0.6686 0.0000  4 Ir 2.64, 4 Cu 2.68, 4 Tc 2.75
3 Cu 0.9999 0.9999 0.0000  4 Ir 2.68, 4 Tc 2.68, 4 Cu 2.75